Below is a relaxed structure of ScCl2O, with properties calculated at the PBE level.

Output
- Formation energy (no corrections): -40.3 kcal/mol of atoms
- V: 22.73 Å³/atom
- Spin magnetization: 0.00 μB per atom
- Crystal system: tetragonal

Cell: 9.519 9.519 7.024 Å, 47.34 47.34 90.00°
Element x y z (fractional)
1 Cl 0.375 0.209 0.750
2 Cl 0.875 0.041 0.750
3 Cl 0.791 0.125 0.250
4 Cl 0.959 0.625 0.250
5 Sc 0.750 0.250 0.500
6 Sc 0.000 0.000 0.000
7 O 0.250 0.750 0.500
8 O 0.500 0.500 0.000


Below is a relaxed structure of Tl2Zn2Br5, with properties calculated at the PBE level.

Output
- Formation energy (no corrections): -15.6 kcal/mol of atoms
- V: 32.93 Å³/atom
- Spin magnetization: 0.00 μB per atom
- Crystal system: monoclinic

Cell: 5.584 7.746 7.791 Å, 108.08 90.00 111.13°
Element x y z (fractional)
1 Zn 0.847 0.694 0.114
2 Zn 0.153 0.306 0.886
3 Br 0.343 0.687 0.084
4 Br 0.154 0.309 0.563
5 Br 0.000 0.000 0.000
6 Br 0.846 0.691 0.437
7 Br 0.657 0.313 0.916
8 Tl 0.396 0.793 0.690
9 Tl 0.604 0.207 0.310


Below is a relaxed structure of CaScReGe2, with properties calculated at the PBE level.

Output
- V: 22.90 Å³/atom
- Formation energy: 2.02 eV per atom
- Spin magnetization: 0.00 μB per atom
- Crystal system: tetragonal

Cell: 4.943 4.687 4.943 Å, 90.00 90.00 90.00°
Element x y z (fractional)
1 Re 0.500 0.500 0.500
2 Sc 0.000 0.500 0.000
3 Ge 0.000 0.000 0.500
4 Ge 0.500 0.000 0.000
5 Ca 0.000 0.000 0.000


Below is a relaxed structure of MoP, with properties calculated at the PBE level.

Output
- V: 14.75 Å³/atom
- Formation energy: -0.20 eV per atom
- Spin magnetization: 0.00 μB per atom
- Crystal system: orthorhombic

Cell: 5.487 5.487 5.487 Å, 148.53 136.48 54.69°
Element x y z (fractional)
1 P 0.851 0.601 0.250
2 P 0.149 0.399 0.750
3 Mo 0.361 0.111 0.250
4 Mo 0.639 0.889 0.750


Below is a relaxed structure of Tm4GaRh2, with properties calculated at the PBE level.

Output
- V: 22.33 Å³/atom
- Formation energy: -0.71 eV per atom
- Spin magnetization: 0.00 μB per atom
- Crystal system: triclinic

Cell: 8.324 7.419 7.044 Å, 106.07 112.76 114.29°
Element x y z (fractional)
1 Rh 0.509 0.928 0.145
2 Rh 0.633 0.445 0.436
3 Rh 0.115 0.222 0.652
4 Rh 0.844 0.518 0.963
5 Ga 0.897 0.884 0.836
6 Ga 0.205 0.716 0.426
7 Tm 0.719 0.103 0.628
8 Tm 0.270 0.067 0.302
9 Tm 0.900 0.220 0.225
10 Tm 0.077 0.624 0.764
11 Tm 0.314 0.493 0.144
12 Tm 0.476 0.608 0.745
13 Tm 0.445 0.166 0.896
14 Tm 0.845 0.756 0.336


Below is a relaxed structure of Y3ErS4, with properties calculated at the PBE level.

Output
- Formation energy (no corrections): -45.7 kcal/mol of atoms
- V: 21.05 Å³/atom
- Spin magnetization: 0.00 μB per atom
- Crystal system: orthorhombic

Cell: 3.876 6.782 6.782 Å, 109.13 90.00 90.00°
Element x y z (fractional)
1 S 0.000 0.754 0.754
2 S 0.500 0.752 0.248
3 S 0.500 0.248 0.752
4 S 0.000 0.246 0.246
5 Y 0.000 0.500 0.000
6 Y 0.500 0.500 0.500
7 Y 0.000 0.000 0.500
8 Er 0.500 0.000 0.000


Below is a relaxed structure of Hf2USn, with properties calculated at the PBE level.

Output
- V: 22.24 Å³/atom
- Formation energy: -0.04 eV per atom
- Spin magnetization: 0.59 μB per atom
- Crystal system: tetragonal

Cell: 4.101 4.657 4.657 Å, 90.00 90.00 90.00°
Element x y z (fractional)
1 Hf 0.000 0.000 0.500
2 Hf 0.000 0.500 0.000
3 U 0.500 0.500 0.500
4 Sn 0.500 0.000 0.000


Below is a relaxed structure of Ce2ZnGaPd6, with properties calculated at the PBE level.

Output
- V: 21.15 Å³/atom
- Formation energy: -0.53 eV per atom
- Spin magnetization: 0.16 μB per atom
- Crystal system: monoclinic

Cell: 8.312 5.652 5.651 Å, 60.01 70.18 90.07°
Element x y z (fractional)
1 Ce 0.360 0.786 0.425
2 Ce 0.640 0.214 0.575
3 Pd 0.751 0.752 0.002
4 Pd 0.246 0.247 0.500
5 Pd 0.754 0.253 0.000
6 Pd 0.754 0.753 0.500
7 Pd 0.249 0.248 0.998
8 Pd 0.246 0.747 0.000
9 Ga 0.000 0.000 0.000
10 Zn 0.500 0.500 0.000


Below is a relaxed structure of Ba4Ga2O, with properties calculated at the PBE level.

Output
- Formation energy (no corrections): -20.1 kcal/mol of atoms
- V: 38.44 Å³/atom
- Spin magnetization: 0.00 μB per atom
- Crystal system: monoclinic

Cell: 8.904 7.622 8.193 Å, 90.00 104.57 90.00°
Element x y z (fractional)
1 Ba 0.431 0.002 0.225
2 Ba 0.569 0.998 0.775
3 Ba 0.883 0.250 0.573
4 Ba 0.047 0.750 0.907
5 Ba 0.569 0.502 0.775
6 Ba 0.431 0.498 0.225
7 Ba 0.117 0.750 0.427
8 Ba 0.953 0.250 0.093
9 Ga 0.734 0.750 0.474
10 Ga 0.248 0.250 0.842
11 Ga 0.266 0.250 0.526
12 Ga 0.752 0.750 0.158
13 O 0.241 0.750 0.183
14 O 0.759 0.250 0.817


Below is a relaxed structure of InCu2NiS4, with properties calculated at the PBE level.

Output
- Formation energy (no corrections): -8.1 kcal/mol of atoms
- V: 19.22 Å³/atom
- Spin magnetization: 0.09 μB per atom
- Crystal system: tetragonal

Cell: 5.364 5.364 6.554 Å, 114.18 114.18 90.00°
Element x y z (fractional)
1 Cu 0.750 0.250 0.500
2 Cu 0.250 0.750 0.500
3 In 0.000 0.000 0.000
4 S 0.856 0.407 0.264
5 S 0.407 0.856 0.264
6 S 0.593 0.593 0.737
7 S 0.144 0.144 0.737
8 Ni 0.500 0.500 0.000


Below is a relaxed structure of AlFeTe2I, with properties calculated at the PBE level.

Output
- Formation energy (no corrections): 16.1 kcal/mol of atoms
- V: 31.23 Å³/atom
- Spin magnetization: 0.86 μB per atom
- Crystal system: tetragonal

Cell: 5.373 5.373 5.408 Å, 90.00 90.00 90.00°
Element x y z (fractional)
1 Al 0.000 0.000 0.000
2 Fe 0.500 0.500 0.500
3 Te 0.000 0.500 0.000
4 Te 0.500 0.000 0.000
5 I 0.000 0.000 0.500


Below is a relaxed structure of BeIn2P, with properties calculated at the PBE level.

Output
- V: 19.37 Å³/atom
- Formation energy: 0.41 eV per atom
- Spin magnetization: 0.00 μB per atom
- Crystal system: orthorhombic

Cell: 3.660 2.761 7.668 Å, 90.00 90.00 90.00°
Element x y z (fractional)
1 P 0.500 0.250 0.250
2 In 0.000 0.251 0.979
3 In 0.000 0.249 0.521
4 Be 0.500 0.750 0.750